(1)
A plane-wave DFT calculation with PBE-GGA was carried out for a geometry-optimized KPb2F structure.

**Space group**: No. 225
**ΔE_f (raw)**: -0.272 eV/atom
**Magnetization**: 0.00 μB per formula unit

Cell lengths 7.680, 7.680, 7.680 Å; angles 90.00, 90.00, 90.00 degrees
Fractional coordinates of all 16 atoms:
K1 0.000 0.000 0.000
K2 0.000 0.500 0.500
K3 0.500 0.000 0.500
K4 0.500 0.500 0.000
Pb1 0.250 0.250 0.250
Pb2 0.250 0.250 0.750
Pb3 0.250 0.750 0.250
Pb4 0.250 0.750 0.750
Pb5 0.750 0.250 0.250
Pb6 0.750 0.250 0.750
Pb7 0.750 0.750 0.250
Pb8 0.750 0.750 0.750
F1 0.000 0.000 0.500
F2 0.000 0.500 0.000
F3 0.500 0.000 0.000
F4 0.500 0.500 0.500

---

(2)
A plane-wave DFT calculation with PBE-GGA was carried out for a geometry-optimized In4GaBi3 structure.

**Space group**: No. 12
**Energy of formation**: 0.0639 eV per atom
**Magnetization**: 0.00 μB per formula unit

Cell lengths 25.655, 5.373, 3.443 Å; angles 90.00, 95.97, 90.00 degrees
Fractional coordinates of all 16 atoms:
In1 0.092 0.000 0.070
In2 0.212 0.000 0.700
In3 0.288 0.500 0.300
In4 0.408 0.500 0.930
In5 0.592 0.500 0.070
In6 0.712 0.500 0.700
In7 0.788 0.000 0.300
In8 0.908 0.000 0.930
Ga1 0.000 0.000 0.500
Ga2 0.500 0.500 0.500
Bi1 0.000 0.500 0.000
Bi2 0.160 0.500 0.151
Bi3 0.340 0.000 0.849
Bi4 0.500 0.000 0.000
Bi5 0.660 0.000 0.151
Bi6 0.840 0.500 0.849

---

(3)
A plane-wave DFT calculation with PBE-GGA was carried out for a geometry-optimized CaLaAs structure.

**Space group**: No. 216
**Energy of formation**: -0.8454 eV per atom
**Magnetization**: 0.00 μB per formula unit

Cell lengths 7.131, 7.131, 7.131 Å; angles 90.00, 90.00, 90.00 degrees
Fractional coordinates of all 12 atoms:
Ca1 0.000 0.000 0.000
Ca2 0.000 0.500 0.500
Ca3 0.500 0.000 0.500
Ca4 0.500 0.500 0.000
La1 0.000 0.000 0.500
La2 0.000 0.500 0.000
La3 0.500 0.000 0.000
La4 0.500 0.500 0.500
As1 0.250 0.250 0.750
As2 0.250 0.750 0.250
As3 0.750 0.250 0.250
As4 0.750 0.750 0.750

---

(4)
A plane-wave DFT calculation with PBE-GGA was carried out for a geometry-optimized BiSb2TeAs structure.

**Space group**: No. 123
**ΔE_f (raw)**: 0.526 eV/atom
**Magnetization**: 0.00 μB per formula unit

Cell lengths 5.370, 5.370, 5.477 Å; angles 90.00, 90.00, 90.00 degrees
Fractional coordinates of all 5 atoms:
Bi1 0.000 0.000 0.000
Sb1 0.000 0.500 0.500
Sb2 0.500 0.000 0.500
Te1 0.500 0.500 0.000
As1 0.500 0.500 0.500

---

| no. | DFT total energy (eV per atom) |
| --- | --- |
| 1 | -2.868 |
| 2 | -3.139 |
| 3 | -4.705 |
| 4 | -3.457 |